DyBe2SiRh2: relaxed, PBE.

Properties
Total magnetization (μB per cell): 0.000
Raw total energy (eV/atom): -5.473
DOS at the Fermi energy (states/eV per cell): 4.93
ΔE_f (raw) (eV per atom): -0.110

CIF file:
```
data_DyBe2SiRh2
_chemical_formula_sum 'Dy1 Be2 Si1 Rh2'
_symmetry_space_group_name_H-M 'P 4/m m m'
_symmetry_Int_Tables_number 123
_symmetry_space_group_name_Hall '-P 4 2'
_cell_length_a 4.054
_cell_length_b 4.054
_cell_length_c 5.556
_cell_angle_alpha 90.00
_cell_angle_beta 90.00
_cell_angle_gamma 90.00
loop_
_atom_site_label
_atom_site_fract_x
_atom_site_fract_y
_atom_site_fract_z
Dy1 0.000 0.000 0.000
Be1 0.000 0.500 0.500
Si1 0.000 0.000 0.500
Rh1 0.500 0.500 0.253
```